1.
DFT (PBE) results for a relaxed structure of BaEuI.

The space group is P-6m2 (No. 187) and the conventional cell measures 5.8541, 5.8541 and 4.6391 Å, with angles of 90.00, 90.00 and 120.00 degrees. The asymmetric unit holds Ba at (0.0000, 0.0000, 0.0000), Eu at (0.6667, 0.3333, 0.5000) and I at (0.3333, 0.6667, 0.5000).

The crystal system is hexagonal.

---

2.
DFT (PBE) results for a relaxed structure of Rb2MoCBr6.

The space group is I4/mmm (No. 139) and the conventional cell measures 7.2445, 7.2445 and 11.9287 Å, with angles of 90.00, 90.00 and 90.00 degrees. The asymmetric unit holds Rb at (0.0000, 0.5000, 0.2500), Mo at (0.0000, 0.0000, 0.0000), C at (0.0000, 0.0000, 0.5000), Br at (0.0000, 0.0000, 0.2178) and Br at (0.2424, 0.2424, 0.5000).

The crystal system is tetragonal.

---

Number 1: formation energy from raw total energies -12.40 kcal/mol of atoms, calculated total energy -5.120 eV/atom, density 5.0 g/cm³. Number 2: formation energy from raw total energies -7.22 kcal/mol of atoms, calculated total energy -3.516 eV/atom, density 4.0 g/cm³.